(1)
## YScReO2 (SCAN)

Data for a crystal of YScReO2 relaxed with PBEsol.

Computed properties:
spin magnetization = 3.0 μB per cell
V = 113.0 Å³ per cell
ΔE_f (raw) = -280 meV/atom
DOS at the Fermi energy = 3.142 states/eV/cell

Cell: 3.9455 3.9455 7.2567 Å, 90.00 90.00 90.00°
Atoms (fractional coordinates):
Re 0.5000 0.5000 0.5000
Y 0.0000 0.0000 0.5000
O 0.5000 0.0000 0.0000
Sc 0.0000 0.0000 0.0000
O 0.0000 0.5000 0.0000


(2)
## ReSe2O (SCAN)

Data for a crystal of ReSe2O relaxed with PBEsol.

Computed properties:
spin magnetization = 0.0 μB per cell
V = 55.2 Å³ per cell
ΔE_f (raw) = 689 meV/atom
DOS at the Fermi energy = 2.290 states/eV/cell

Cell: 4.2739 4.2739 4.2739 Å, 60.00 60.00 60.00°
Atoms (fractional coordinates):
Se 0.2500 0.2500 0.2500
Re 0.5000 0.5000 0.5000
O 0.0000 0.0000 0.0000
Se 0.7500 0.7500 0.7500


(3)
## ReSiO2 (SCAN)

Data for a crystal of ReSiO2 relaxed with PBEsol.

Computed properties:
spin magnetization = 0.9 μB per cell
V = 57.5 Å³ per cell
ΔE_f (raw) = -1368 meV/atom
DOS at the Fermi energy = 1.229 states/eV/cell

Cell: 2.6263 2.6263 9.7435 Å, 82.25 82.25 60.00°
Atoms (fractional coordinates):
Si 0.5000 0.5000 0.5000
Re 0.0000 0.0000 0.0000
O 0.1345 0.1345 0.5964
O 0.8655 0.8655 0.4036